# CeTh5P6 PBE-GGA relaxed
data_CeTh5P6
_chemical_formula_sum 'Ce2 Th10 P12'
_symmetry_space_group_name_H-M 'C 1 2/m 1'
_symmetry_Int_Tables_number 12
_cell_length_a 7.1603
_cell_length_b 12.4081
_cell_length_c 7.1609
_cell_angle_alpha 90.00
_cell_angle_beta 109.50
_cell_angle_gamma 90.00
loop_
_symmetry_equiv_pos_as_xyz
'x,y,z'
'-x,-y,-z'
'-x,y,-z'
'x,-y,z'
'x+1/2,y+1/2,z'
'-x+1/2,-y+1/2,-z'
'-x+1/2,y+1/2,-z'
'x+1/2,-y+1/2,z'
loop_
_atom_site_label
_atom_site_type_symbol
_atom_site_fract_x
_atom_site_fract_y
_atom_site_fract_z
_atom_site_occupancy
Ce1 Ce 0.0000 0.0000 0.0000 1
Th1 Th 0.0000 0.1671 0.5000 1
Th2 Th 0.0000 0.3331 0.0000 1
Th3 Th 0.0000 0.5000 0.5000 1
P1 P 0.2484 0.0000 0.7511 1
P2 P 0.2485 0.1656 0.2486 1
# DOS(E_F)	18.2	states/eV/cell
# formation enthalpy at 0 K	-1.55	eV/atom

***

# KZr2Fe PBE-GGA relaxed
data_KZr2Fe
_chemical_formula_sum 'K1 Zr2 Fe1'
_symmetry_space_group_name_H-M 'P 1 2/m 1'
_symmetry_Int_Tables_number 10
_cell_length_a 3.1815
_cell_length_b 3.1815
_cell_length_c 10.1949
_cell_angle_alpha 90.00
_cell_angle_beta 90.63
_cell_angle_gamma 90.00
loop_
_symmetry_equiv_pos_as_xyz
'x,y,z'
'-x,-y,-z'
'-x,y,-z'
'x,-y,z'
loop_
_atom_site_label
_atom_site_type_symbol
_atom_site_fract_x
_atom_site_fract_y
_atom_site_fract_z
_atom_site_occupancy
K1 K 0.0000 0.0000 0.0000 1
Zr1 Zr 0.4993 0.5000 0.3499 1
Fe1 Fe 0.0000 0.0000 0.5000 1
# DOS(E_F)	3.2	states/eV/cell
# energy above the lowest structure with this stoichiometry	0.0	meV/atom
# formation enthalpy at 0 K	0.31	eV/atom

***

# Al3As PBE-GGA relaxed
data_Al3As
_chemical_formula_sum 'Al6 As2'
_symmetry_space_group_name_H-M 'P 63/m m c'
_symmetry_Int_Tables_number 194
_symmetry_space_group_name_Hall '-P 6c 2c'
_cell_length_a 5.8347
_cell_length_b 5.8347
_cell_length_c 4.7631
_cell_angle_alpha 90.00
_cell_angle_beta 90.00
_cell_angle_gamma 120.00
loop_
_atom_site_label
_atom_site_type_symbol
_atom_site_fract_x
_atom_site_fract_y
_atom_site_fract_z
_atom_site_occupancy
Al1 Al 0.1658 0.3316 0.2500 1
As1 As 0.3333 0.6667 0.7500 1
# DOS(E_F)	2.5	states/eV/cell
# energy above the lowest structure with this stoichiometry	105.7	meV/atom
# formation enthalpy at 0 K	0.10	eV/atom

***

# Ba2MgHg3 PBE-GGA relaxed
data_Ba2MgHg3
_chemical_formula_sum 'Ba16 Mg8 Hg24'
_symmetry_space_group_name_H-M 'F m m m'
_symmetry_Int_Tables_number 69
_symmetry_space_group_name_Hall '-F 2 2'
_cell_length_a 8.5155
_cell_length_b 10.3780
_cell_length_c 18.1363
_cell_angle_alpha 90.00
_cell_angle_beta 90.00
_cell_angle_gamma 90.00
loop_
_atom_site_label
_atom_site_type_symbol
_atom_site_fract_x
_atom_site_fract_y
_atom_site_fract_z
_atom_site_occupancy
Ba1 Ba 0.2398 0.0000 0.0000 1
Ba2 Ba 0.2500 0.2500 0.2500 1
Mg1 Mg 0.0000 0.0000 0.3342 1
Hg1 Hg 0.0000 0.0000 0.1717 1
Hg2 Hg 0.0000 0.2419 0.4148 1
# DOS(E_F)	41.5	states/eV/cell
# energy above the lowest structure with this stoichiometry	0.0	meV/atom
# formation enthalpy at 0 K	-0.41	eV/atom

***

# ScSiC PBE-GGA relaxed
data_ScSiC
_chemical_formula_sum 'Sc2 Si2 C2'
_symmetry_space_group_name_H-M 'P m m 2'
_symmetry_Int_Tables_number 25
_cell_length_a 3.6292
_cell_length_b 4.3043
_cell_length_c 4.9763
_cell_angle_alpha 90.00
_cell_angle_beta 90.00
_cell_angle_gamma 90.00
loop_
_symmetry_equiv_pos_as_xyz
'x,y,z'
'-x,-y,z'
'-x,y,z'
'x,-y,z'
loop_
_atom_site_label
_atom_site_type_symbol
_atom_site_fract_x
_atom_site_fract_y
_atom_site_fract_z
_atom_site_occupancy
Sc1 Sc 0.0000 0.0000 0.0000 1
Sc2 Sc 0.0000 0.5000 0.4756 1
Si1 Si 0.5000 0.0000 0.5108 1
Si2 Si 0.5000 0.5000 0.8685 1
C1 C 0.5000 0.3179 0.2255 1
# DOS(E_F)	2.6	states/eV/cell
# energy above the lowest structure with this stoichiometry	159.9	meV/atom
# formation energy (no corrections)	-0.21	eV per atom

***

# Pu2Re3Ru PBE-GGA relaxed
data_Pu2Re3Ru
_chemical_formula_sum 'Pu4 Re6 Ru2'
_symmetry_space_group_name_H-M 'C 1 2/m 1'
_symmetry_Int_Tables_number 12
_cell_length_a 9.0099
_cell_length_b 5.2278
_cell_length_c 5.5754
_cell_angle_alpha 90.00
_cell_angle_beta 122.59
_cell_angle_gamma 90.00
loop_
_symmetry_equiv_pos_as_xyz
'x,y,z'
'-x,-y,-z'
'-x,y,-z'
'x,-y,z'
'x+1/2,y+1/2,z'
'-x+1/2,-y+1/2,-z'
'-x+1/2,y+1/2,-z'
'x+1/2,-y+1/2,z'
loop_
_atom_site_label
_atom_site_type_symbol
_atom_site_fract_x
_atom_site_fract_y
_atom_site_fract_z
_atom_site_occupancy
Pu1 Pu 0.1276 0.0000 0.3836 1
Re1 Re 0.0000 0.5000 0.0000 1
Re2 Re 0.2500 0.2500 0.0000 1
Ru1 Ru 0.0000 0.5000 0.5000 1
# DOS(E_F)	34.9	states/eV/cell
# formation enthalpy at 0 K	0.01	eV/atom

***

# Li3Cd2IO6 PBE-GGA relaxed
data_Li3Cd2IO6
_chemical_formula_sum 'Li6 Cd4 I2 O12'
_symmetry_space_group_name_H-M 'C 1 2/m 1'
_symmetry_Int_Tables_number 12
_cell_length_a 5.6512
_cell_length_b 10.0525
_cell_length_c 5.4096
_cell_angle_alpha 90.00
_cell_angle_beta 108.89
_cell_angle_gamma 90.00
loop_
_symmetry_equiv_pos_as_xyz
'x,y,z'
'-x,-y,-z'
'-x,y,-z'
'x,-y,z'
'x+1/2,y+1/2,z'
'-x+1/2,-y+1/2,-z'
'-x+1/2,y+1/2,-z'
'x+1/2,-y+1/2,z'
loop_
_atom_site_label
_atom_site_type_symbol
_atom_site_fract_x
_atom_site_fract_y
_atom_site_fract_z
_atom_site_occupancy
Li1 Li 0.0000 0.0000 0.0000 1
Li2 Li 0.0000 0.3567 0.0000 1
Cd1 Cd 0.0000 0.1694 0.5000 1
I1 I 0.0000 0.5000 0.5000 1
O1 O 0.2259 0.3503 0.7468 1
O2 O 0.2321 0.5000 0.2570 1
# DOS(E_F)	0.0	states/eV/cell
# formation energy (no corrections)	-1.15	eV per atom

***

# LiTaBr2 PBE-GGA relaxed
data_LiTaBr2
_chemical_formula_sum 'Li3 Ta3 Br6'
_symmetry_space_group_name_H-M 'R -3 m'
_symmetry_Int_Tables_number 166
_symmetry_space_group_name_Hall '-R 3 2"'
_cell_length_a 3.3702
_cell_length_b 3.3702
_cell_length_c 25.3507
_cell_angle_alpha 90.00
_cell_angle_beta 90.00
_cell_angle_gamma 120.00
loop_
_atom_site_label
_atom_site_type_symbol
_atom_site_fract_x
_atom_site_fract_y
_atom_site_fract_z
_atom_site_occupancy
Li1 Li 0.0000 0.0000 0.0000 1
Ta1 Ta 0.0000 0.0000 0.5000 1
Br1 Br 0.0000 0.0000 0.3991 1
# DOS(E_F)	9.3	states/eV/cell
# energy above the lowest structure with this stoichiometry	0.0	meV/atom
# formation energy (no corrections)	-0.30	eV per atom

***

- What is the formula in the fourth record?
  Ba2MgHg3

***

- Among the records above, which one has the highest DOS(E_F)?
  Ba2MgHg3

***

- Look up the DOS(E_F) of the third one.
  2.5 states/eV/cell

***

- Which formula does entry 1 have?
  CeTh5P6